DFT (GGA+U) results for PuNiOsO6 after structural relaxation.

DOS(E_F) (states/eV/f.u.): 8.33
Calculated total energy (eV for the cell shown): -144.37

```
PuNiOsO6
1.0
5.195 0.000 0.000
-2.597 4.499 0.000
0.000 0.000 8.973
Pu Ni Os O
2 2 2 12
Direct
0.333 0.667 0.250
0.667 0.333 0.750
0.333 0.667 0.750
0.667 0.333 0.250
0.000 0.000 0.000
0.000 0.000 0.500
0.006 0.317 0.624
0.006 0.688 0.876
0.312 0.317 0.876
0.312 0.994 0.624
0.317 0.006 0.124
0.317 0.312 0.376
0.683 0.688 0.624
0.683 0.994 0.876
0.688 0.006 0.376
0.688 0.683 0.124
0.994 0.312 0.124
0.994 0.683 0.376
```